[1]
Density functional theory data (PBE-GGA) for an optimized crystal structure of Pm4PrDy.

```
Pm4PrDy
1.0
0.403 -4.224 4.830
-1.762 -6.175 -0.327
5.620 -1.517 -1.785
Dy Pm Pr
1 4 1
Direct
0.000 0.000 0.000 Dy
0.676 0.676 0.046 Pm
0.175 0.175 0.453 Pm
0.825 0.825 0.547 Pm
0.324 0.324 0.954 Pm
0.500 0.500 0.500 Pr
```

## Properties
The calculation puts the total moment at 0.0 μB/f.u. Its space-group type is C2/m. The energy above the most stable polymorph in this dataset comes out at 91 meV/atom. The calculation puts the formation energy at 0.6 eV/f.u. Its calculated total energy is -4.62 eV per atom.

[2]
Density functional theory data (PBE-GGA) for an optimized crystal structure of Pm5Pr3Dy3.

```
Pm5Pr3Dy3
1.0
-3.011 -2.890 -3.745
0.868 -7.969 5.450
-7.476 6.017 1.368
Dy Pm Pr
3 5 3
Direct
0.500 0.000 0.752 Dy
0.500 0.752 0.000 Dy
0.500 0.248 0.248 Dy
0.500 0.333 0.667 Pm
0.500 0.380 0.000 Pm
0.500 0.000 0.380 Pm
0.500 0.620 0.620 Pm
0.500 0.667 0.333 Pm
0.000 0.596 0.000 Pr
0.000 0.404 0.404 Pr
0.000 0.000 0.596 Pr
```

## Properties
The calculation puts the total moment at 0.0 μB/f.u. Its space-group type is P-62m. The energy above the most stable polymorph in this dataset comes out at 0 meV/atom. The calculation puts the formation energy at 8.1 eV/f.u. Its calculated total energy is -3.98 eV per atom.

[3]
Density functional theory data (PBE-GGA) for an optimized crystal structure of PmPr6Dy2.

```
PmPr6Dy2
1.0
-0.583 4.807 -1.907
-5.285 -4.103 -8.726
-9.564 0.958 5.342
Pr Dy Pm
12 4 2
Direct
0.000 0.999 0.168 Pr
0.000 0.332 0.501 Pr
0.500 0.168 0.001 Pr
0.000 0.001 0.832 Pr
0.000 0.665 0.835 Pr
0.500 0.501 0.668 Pr
0.500 0.166 0.665 Pr
0.000 0.335 0.165 Pr
0.500 0.834 0.335 Pr
0.000 0.668 0.499 Pr
0.500 0.499 0.332 Pr
0.500 0.832 0.999 Pr
0.500 0.167 0.333 Dy
0.000 0.667 0.167 Dy
0.500 0.833 0.667 Dy
0.000 0.333 0.833 Dy
0.500 0.500 0.000 Pm
0.000 0.000 0.500 Pm
```

## Properties
The calculation puts the total moment at 0.0 μB/f.u. Its space-group type is P4_2/mnm. The energy above the most stable polymorph in this dataset comes out at 0 meV/atom. The calculation puts the formation energy at 0.1 eV/f.u. Its calculated total energy is -4.72 eV per atom.

[4]
Density functional theory data (PBE-GGA) for an optimized crystal structure of Pm3Pr5Dy2.

```
Pm3Pr5Dy2
1.0
-11.008 1.560 -1.341
-6.558 -7.508 -1.656
-6.934 -2.940 6.738
Pr Dy Pm
10 4 6
Direct
0.376 0.726 0.521 Pr
0.498 0.752 0.752 Pr
0.624 0.274 0.479 Pr
0.250 0.500 0.500 Pr
0.876 0.521 0.726 Pr
0.502 0.248 0.248 Pr
0.124 0.479 0.274 Pr
0.750 0.500 0.500 Pr
0.998 0.752 0.752 Pr
0.002 0.248 0.248 Pr
0.877 0.209 0.038 Dy
0.623 0.962 0.791 Dy
0.377 0.038 0.209 Dy
0.123 0.791 0.962 Dy
0.125 0.125 0.625 Pm
0.750 0.000 0.000 Pm
0.250 0.000 0.000 Pm
0.875 0.875 0.375 Pm
0.625 0.625 0.125 Pm
0.375 0.375 0.875 Pm
```

## Properties
The calculation puts the total moment at 0.0 μB/f.u. Its space-group type is Ibam. The energy above the most stable polymorph in this dataset comes out at 181 meV/atom. The calculation puts the formation energy at 3.5 eV/f.u. Its calculated total energy is -4.39 eV per atom.

[5]
Density functional theory data (PBE-GGA) for an optimized crystal structure of PmPr15Dy4.

```
PmPr15Dy4
1.0
5.209 0.000 0.000
0.000 5.209 0.000
0.000 0.000 25.918
Pr Dy Pm
15 4 1
Direct
0.500 0.500 0.000 Pr
0.500 0.500 0.201 Pr
0.500 0.500 0.400 Pr
0.500 0.500 0.600 Pr
0.500 0.000 0.899 Pr
0.000 0.500 0.101 Pr
0.500 0.000 0.101 Pr
0.500 0.500 0.799 Pr
0.000 0.500 0.301 Pr
0.000 0.500 0.699 Pr
0.500 0.000 0.301 Pr
0.000 0.500 0.899 Pr
0.000 0.500 0.500 Pr
0.500 0.000 0.699 Pr
0.500 0.000 0.500 Pr
0.000 0.000 0.201 Dy
0.000 0.000 0.799 Dy
0.000 0.000 0.400 Dy
0.000 0.000 0.600 Dy
0.000 0.000 0.000 Pm
```

## Properties
The calculation puts the total moment at 0.0 μB/f.u. Its space-group type is P4/mmm. The calculation puts the formation energy at 0.2 eV/f.u. Its calculated total energy is -4.73 eV per atom.

[6]
Density functional theory data (PBE-GGA) for an optimized crystal structure of PmPr7Dy4.

```
PmPr7Dy4
1.0
-2.909 -5.282 -0.746
6.586 -6.718 -2.858
2.756 -5.837 5.834
Pr Dy Pm
7 4 1
Direct
0.787 0.238 0.188 Pr
0.213 0.762 0.812 Pr
0.914 0.450 0.722 Pr
0.500 0.000 0.000 Pr
0.787 0.884 0.542 Pr
0.213 0.116 0.458 Pr
0.086 0.550 0.278 Pr
0.670 0.618 0.043 Dy
0.571 0.302 0.557 Dy
0.429 0.698 0.443 Dy
0.330 0.382 0.957 Dy
0.000 0.000 0.000 Pm
```

## Properties
The calculation puts the total moment at 0.1 μB/f.u. Its space-group type is C2/m. The energy above the most stable polymorph in this dataset comes out at 192 meV/atom. The calculation puts the formation energy at 2.4 eV/f.u. Its calculated total energy is -4.52 eV per atom.

[7]
Density functional theory data (PBE-GGA) for an optimized crystal structure of Pm16Pr6Dy7.

```
Pm16Pr6Dy7
1.0
9.836 0.000 5.679
3.279 9.274 5.679
0.000 0.000 11.358
Pm Dy Pr
16 7 6
Direct
0.348 0.955 0.348 Pm
0.874 0.378 0.874 Pm
0.045 0.652 0.652 Pm
0.652 0.045 0.652 Pm
0.955 0.348 0.348 Pm
0.126 0.622 0.126 Pm
0.874 0.874 0.378 Pm
0.348 0.348 0.348 Pm
0.622 0.126 0.126 Pm
0.126 0.126 0.126 Pm
0.126 0.126 0.622 Pm
0.652 0.652 0.652 Pm
0.348 0.348 0.955 Pm
0.874 0.874 0.874 Pm
0.378 0.874 0.874 Pm
0.652 0.652 0.045 Pm
0.000 0.000 0.500 Dy
0.500 0.000 0.500 Dy
0.000 0.500 0.500 Dy
0.500 0.500 0.000 Dy
0.000 0.500 0.000 Dy
0.500 0.000 0.000 Dy
0.000 0.000 0.000 Dy
0.727 0.727 0.273 Pr
0.727 0.273 0.727 Pr
0.273 0.727 0.273 Pr
0.273 0.727 0.727 Pr
0.727 0.273 0.273 Pr
0.273 0.273 0.727 Pr
```

## Properties
The calculation puts the total moment at 0.0 μB/f.u. Its space-group type is Fm-3m. The calculation puts the formation energy at 6.0 eV/f.u. Its calculated total energy is -4.51 eV per atom.

[8]
Density functional theory data (PBE-GGA) for an optimized crystal structure of Pm5Pr2Dy4.

```
Pm5Pr2Dy4
1.0
-3.177 1.615 -0.057
-3.835 -7.827 -7.887
-1.006 -5.661 7.055
Dy Pm Pr
4 5 2
Direct
0.968 0.742 0.936 Dy
0.032 0.258 0.064 Dy
0.640 0.798 0.280 Dy
0.360 0.202 0.720 Dy
0.824 0.932 0.648 Pm
0.095 0.536 0.190 Pm
0.500 0.000 0.000 Pm
0.176 0.068 0.352 Pm
0.905 0.464 0.810 Pm
0.284 0.649 0.568 Pr
0.716 0.351 0.432 Pr
```

## Properties
The calculation puts the total moment at 0.0 μB/f.u. Its space-group type is C2/m. The energy above the most stable polymorph in this dataset comes out at 0 meV/atom. The calculation puts the formation energy at 0.8 eV/f.u. Its calculated total energy is -4.63 eV per atom.